The following is a DFT calculation (PBE) of crystalline CrInRu2 at its relaxed geometry.

Summary:
Crystal system: orthorhombic
Density of states at the Fermi level, states/eV/cell: 5.055
Calculated formation energy, eV per atom: 0.2509
E, eV/f.u.: -29.9

a = 2.8395 Å, b = 3.8673 Å, c = 5.6205 Å
α = 90.00°, β = 90.00°, γ = 90.00°
Space group Pmm2 (No. 25)
One atom of each set of equivalent atoms:
Cr: 0.0000 0.0000 0.0000 [1 per cell]
In: 0.5000 0.5000 0.2942 [1 per cell]
Ru: 0.0000 0.0000 0.5587 [1 per cell]
Ru: 0.5000 0.5000 0.8010 [1 per cell]